# 1
Material: FeSb2IO
Method: DFT, meta-GGA SCAN
State: PBEsol geometry

The structure in CIF format:
```
data_FeSb2IO
_chemical_formula_sum 'Fe1 Sb2 I1 O1'
_cell_length_a 4.7206
_cell_length_b 4.7206
_cell_length_c 5.2493
_cell_angle_alpha 90.00
_cell_angle_beta 90.00
_cell_angle_gamma 90.00
_symmetry_space_group_name_H-M 'P 4/m m m'
_symmetry_Int_Tables_number 123
_symmetry_space_group_name_Hall '-P 4 2'
loop_
_atom_site_label
_atom_site_type_symbol
_atom_site_fract_x
_atom_site_fract_y
_atom_site_fract_z
Fe1 Fe 0.0000 0.0000 0.0000
Sb1 Sb 0.0000 0.5000 0.0000
I1 I 0.0000 0.0000 0.5000
O1 O 0.5000 0.5000 0.5000
```

Calculated values
* N(E_F): 2.86 states/eV/f.u.
* magnetic moment: 2.82 μB per cell
* uncorrected energy: -26.364 eV/atom
* V: 23.4 Å³ per atom
* ΔE_f (raw): 0.760 eV per atom

---

# 2
Material: FeSnI2O
Method: DFT, meta-GGA SCAN
State: PBEsol geometry

The structure in CIF format:
```
data_FeSnI2O
_chemical_formula_sum 'Fe1 Sn1 I2 O1'
_cell_length_a 5.9013
_cell_length_b 5.9013
_cell_length_c 3.9631
_cell_angle_alpha 90.00
_cell_angle_beta 90.00
_cell_angle_gamma 90.00
_symmetry_space_group_name_H-M 'P 4/m m m'
_symmetry_Int_Tables_number 123
_symmetry_space_group_name_Hall '-P 4 2'
loop_
_atom_site_label
_atom_site_type_symbol
_atom_site_fract_x
_atom_site_fract_y
_atom_site_fract_z
Fe1 Fe 0.0000 0.0000 0.0000
Sn1 Sn 0.5000 0.5000 0.5000
I1 I 0.0000 0.5000 0.5000
O1 O 0.5000 0.5000 0.0000
```

Calculated values
* N(E_F): 2.76 states/eV/f.u.
* magnetic moment: 3.44 μB per cell
* uncorrected energy: -26.602 eV/atom
* V: 27.6 Å³ per atom
* ΔE_f (raw): 0.151 eV per atom

---

# 3
Material: TaFeIO2
Method: DFT, meta-GGA SCAN
State: PBEsol geometry

The structure in CIF format:
```
data_TaFeIO2
_chemical_formula_sum 'Ta1 Fe1 I1 O2'
_cell_length_a 3.8680
_cell_length_b 3.8680
_cell_length_c 6.0227
_cell_angle_alpha 90.00
_cell_angle_beta 90.00
_cell_angle_gamma 90.00
_symmetry_space_group_name_H-M 'P 4/m m m'
_symmetry_Int_Tables_number 123
_symmetry_space_group_name_Hall '-P 4 2'
loop_
_atom_site_label
_atom_site_type_symbol
_atom_site_fract_x
_atom_site_fract_y
_atom_site_fract_z
Ta1 Ta 0.0000 0.0000 0.0000
Fe1 Fe 0.5000 0.5000 0.5000
I1 I 0.0000 0.0000 0.5000
O1 O 0.0000 0.5000 0.0000
```

Calculated values
* N(E_F): 1.58 states/eV/f.u.
* magnetic moment: 2.94 μB per cell
* uncorrected energy: -27.793 eV/atom
* V: 18.0 Å³ per atom
* ΔE_f (raw): -1.010 eV per atom

---

# 4
Material: TaFeIO2
Method: DFT, meta-GGA SCAN
State: PBEsol geometry

The structure in CIF format:
```
data_TaFeIO2
_chemical_formula_sum 'Ta1 Fe1 I1 O2'
_cell_length_a 3.8219
_cell_length_b 3.8219
_cell_length_c 5.0998
_cell_angle_alpha 90.00
_cell_angle_beta 90.00
_cell_angle_gamma 90.00
_symmetry_space_group_name_H-M 'P 4/m m m'
_symmetry_Int_Tables_number 123
_symmetry_space_group_name_Hall '-P 4 2'
loop_
_atom_site_label
_atom_site_type_symbol
_atom_site_fract_x
_atom_site_fract_y
_atom_site_fract_z
Ta1 Ta 0.0000 0.0000 0.0000
Fe1 Fe 0.5000 0.5000 0.5000
I1 I 0.5000 0.5000 0.0000
O1 O 0.0000 0.5000 0.5000
```

Calculated values
* N(E_F): 3.71 states/eV/f.u.
* magnetic moment: 5.84 μB per cell
* uncorrected energy: -26.472 eV/atom
* V: 14.9 Å³ per atom
* ΔE_f (raw): 0.311 eV per atom

---

# 5
Material: FeWIO2
Method: DFT, meta-GGA SCAN
State: PBEsol geometry

The structure in CIF format:
```
data_FeWIO2
_chemical_formula_sum 'Fe1 W1 I1 O2'
_cell_length_a 3.7924
_cell_length_b 3.7924
_cell_length_c 5.2199
_cell_angle_alpha 90.00
_cell_angle_beta 90.00
_cell_angle_gamma 90.00
_symmetry_space_group_name_H-M 'P 4/m m m'
_symmetry_Int_Tables_number 123
_symmetry_space_group_name_Hall '-P 4 2'
loop_
_atom_site_label
_atom_site_type_symbol
_atom_site_fract_x
_atom_site_fract_y
_atom_site_fract_z
Fe1 Fe 0.0000 0.0000 0.0000
W1 W 0.5000 0.5000 0.5000
I1 I 0.0000 0.0000 0.5000
O1 O 0.0000 0.5000 0.0000
```

Calculated values
* N(E_F): 4.60 states/eV/f.u.
* magnetic moment: 7.03 μB per cell
* uncorrected energy: -26.800 eV/atom
* V: 15.0 Å³ per atom
* ΔE_f (raw): 0.605 eV per atom

---

# 6
Material: FeSbPI2
Method: DFT, meta-GGA SCAN
State: PBEsol geometry

The structure in CIF format:
```
data_FeSbPI2
_chemical_formula_sum 'Fe1 Sb1 P1 I2'
_cell_length_a 5.2934
_cell_length_b 5.2934
_cell_length_c 5.2586
_cell_angle_alpha 90.00
_cell_angle_beta 90.00
_cell_angle_gamma 90.00
_symmetry_space_group_name_H-M 'P 4/m m m'
_symmetry_Int_Tables_number 123
_symmetry_space_group_name_Hall '-P 4 2'
loop_
_atom_site_label
_atom_site_type_symbol
_atom_site_fract_x
_atom_site_fract_y
_atom_site_fract_z
Fe1 Fe 0.0000 0.0000 0.0000
Sb1 Sb 0.5000 0.5000 0.0000
P1 P 0.5000 0.5000 0.5000
I1 I 0.0000 0.5000 0.5000
```

Calculated values
* N(E_F): 4.84 states/eV/f.u.
* magnetic moment: 4.37 μB per cell
* uncorrected energy: -26.883 eV/atom
* V: 29.5 Å³ per atom
* ΔE_f (raw): 0.972 eV per atom